(1)
GGA-PBE KMgScTe3, optimized geometry; formation energy (no corrections) = -641 kJ/mol of formula units; SG = P2_1/m, No. 11; M_tot = 0.0 μB per formula unit
1.0
4.3790 0.0000 0.0000
0.0000 9.3999 -0.4841
0.0000 -2.9985 10.2102
K Mg Sc Te
2 2 2 6
Direct
0.2500 0.2133 0.2397 K
0.7500 0.7867 0.7603 K
0.2500 0.0867 0.6120 Mg
0.7500 0.9133 0.3880 Mg
0.2500 0.6675 0.1310 Sc
0.7500 0.3325 0.8690 Sc
0.7500 0.8823 0.1238 Te
0.2500 0.1177 0.8762 Te
0.2500 0.7706 0.4562 Te
0.7500 0.2294 0.5438 Te
0.7500 0.4666 0.1546 Te
0.2500 0.5334 0.8454 Te


(2)
GGA-PBE Er2BeSe, optimized geometry; DOS at the Fermi energy = 1.0049 states/eV per atom; formation energy (no corrections) = -4 kJ/mol of formula units; SG = R-3m, No. 166; M_tot = 0.0 μB per formula unit
1.0
3.7166 0.0000 0.0000
1.8583 3.2186 0.0000
1.8583 1.0729 9.2536
Be Se Er
1 1 2
Direct
0.0000 0.0000 0.0000 Be
0.5000 0.5000 0.5000 Se
0.1022 0.1022 0.6935 Er
0.8978 0.8978 0.3065 Er


(3)
GGA-PBE TlPdF3, optimized geometry; DOS at the Fermi energy = 0.0768 states/eV per atom; formation energy (no corrections) = -649 kJ/mol of formula units; SG = Fd-3m, No. 227; energy relative to the lowest polymorph listed for this composition = 94.5 meV per atom; M_tot = 2.0 μB per formula unit
1.0
0.0000 5.6969 5.6969
5.6969 0.0000 5.6969
5.6969 5.6969 0.0000
Tl Pd F
4 4 12
Direct
0.6250 0.6250 0.6250 Tl
0.6250 0.1250 0.6250 Tl
0.1250 0.6250 0.6250 Tl
0.6250 0.6250 0.1250 Tl
0.1250 0.1250 0.1250 Pd
0.1250 0.6250 0.1250 Pd
0.6250 0.1250 0.1250 Pd
0.1250 0.1250 0.6250 Pd
0.7935 0.2065 0.2065 F
0.0435 0.4565 0.4565 F
0.4565 0.4565 0.0435 F
0.4565 0.0435 0.0435 F
0.0435 0.4565 0.0435 F
0.7935 0.2065 0.7935 F
0.4565 0.0435 0.4565 F
0.0435 0.0435 0.4565 F
0.2065 0.7935 0.2065 F
0.2065 0.7935 0.7935 F
0.2065 0.2065 0.7935 F
0.7935 0.7935 0.2065 F


(4)
GGA-PBE TcAgNF2, optimized geometry; DOS at the Fermi energy = 0.6217 states/eV per atom; formation energy (no corrections) = -260 kJ/mol of formula units; SG = P4/mmm, No. 123; energy relative to the lowest polymorph listed for this composition = 0.0 meV per atom; M_tot = 0.4 μB per formula unit
1.0
4.2341 0.0000 0.0000
0.0000 4.2341 0.0000
0.0000 0.0000 3.7955
N Tc Ag F
1 1 1 2
Direct
0.0000 0.0000 0.5000 N
0.0000 0.0000 0.0000 Tc
0.5000 0.5000 0.5000 Ag
0.0000 0.5000 0.0000 F
0.5000 0.0000 0.0000 F


(5)
GGA-PBE LaZrRh2, optimized geometry; DOS at the Fermi energy = 0.6178 states/eV per atom; SG = I-42d, No. 122; M_tot = 0.0 μB per formula unit; DFT formation energy = -0.38 eV per atom
1.0
-3.0432 2.6242 6.1878
-6.3764 1.0206 -3.5687
-5.6236 -1.1100 2.1037
Rh Zr La
4 2 2
Direct
0.6061 0.1250 0.2500 Rh
0.1439 0.6250 0.2500 Rh
0.3750 0.3939 0.7500 Rh
0.8750 0.8561 0.7500 Rh
0.5000 0.5000 0.0000 Zr
0.2500 0.7500 0.5000 Zr
0.0000 0.0000 0.0000 La
0.7500 0.2500 0.5000 La


(6)
GGA-PBE K2RhPb, optimized geometry; DOS at the Fermi energy = 0.9023 states/eV per atom; SG = Imm2, No. 44; M_tot = 0.0 μB per formula unit; DFT formation energy = 0.14 eV per atom
1.0
6.6830 -0.0132 0.0019
2.8486 6.0456 -0.0019
-4.0772 -4.1042 3.3459
K Pb Rh
2 1 1
Direct
0.0351 0.0351 0.0000 K
0.7299 0.2299 0.5000 K
0.4409 0.4409 0.0000 Pb
0.2941 0.7941 0.5000 Rh